The following is a DFT calculation (PBE with a Hubbard U) of an optimized crystal structure of MgCoF4.

Computed properties:
The density of states at the Fermi level comes out at 0.00 states/eV/atom. As for the distance to the lowest polymorph of the same formula: 0.085 eV/atom.

Lattice parameters (Å, degrees): 6.4372 6.4372 6.4372 134.18 134.18 66.81
Site moments in Bohr magnetons follow the coordinates.
Positions (direct):
Mg (0.5000, 0.0000, 0.5000)  0.00
Mg (0.0000, 0.5000, 0.5000)  0.00
F (0.6125, 0.0643, 0.0005)  0.06
F (0.0638, 0.6120, 0.9995)  0.06
F (0.8042, 0.3584, 0.9998)  0.02
F (0.1958, 0.1956, 0.5542)  0.02
F (0.6414, 0.6416, 0.4458)  0.02
F (0.3586, 0.8044, 0.0002)  0.02
F (0.3875, 0.3880, 0.4518)  0.06
F (0.9362, 0.9357, 0.5482)  0.06
Co (0.2792, 0.2792, 0.0000)  2.80
Co (0.7208, 0.7208, 0.0000)  2.80